No. 1
DFT (GGA-PBE) results for a geometry-optimized Ac4AgHIr2 structure.

DOS at the Fermi energy: 7.715 states/eV/cell
E: -5.59 eV per atom

Cell: 4.3764 7.4663 15.0298 Å, 90.00 90.00 107.04°
Closest atoms and distances in Å follow each position.
Positions (direct):
Ac 0.2664 0.5328 0.1124  1 H 2.58
Ac 0.7336 0.4672 0.6124  1 H 2.58
Ac 0.7336 0.4672 0.8876  1 H 2.58
Ac 0.2664 0.5328 0.3876  1 H 2.58
Ac 0.0000 0.0000 0.5000  4 Ir 3.03
Ac 0.0000 0.0000 0.0000  4 Ir 3.03
Ac 0.4303 0.8606 0.7500  2 H 2.53
Ac 0.5697 0.1394 0.2500  2 H 2.53
Ag 0.1144 0.2289 0.7500  6 Ac 3.42-3.46
Ag 0.8856 0.7711 0.2500  6 Ac 3.42-3.46
H 0.8418 0.6836 0.7500  4 Ac 2.53-2.58
H 0.1582 0.3164 0.2500  4 Ac 2.53-2.58
Ir 0.3692 0.7385 0.5635  6 Ac 2.94-3.03
Ir 0.6308 0.2615 0.0635  6 Ac 2.94-3.03
Ir 0.6308 0.2615 0.4365  6 Ac 2.94-3.03
Ir 0.3692 0.7385 0.9365  6 Ac 2.94-3.03

---

No. 2
DFT (GGA-PBE) results for a geometry-optimized AcMnAgH6 structure.

DOS at the Fermi energy: 3.159 states/eV/cell
E: -4.22 eV per atom

Cell: 4.7779 4.7780 4.6577 Å, 90.00 90.00 60.00°
Closest atoms and distances in Å follow each position.
Positions (direct):
Ac 0.9999 0.0000 0.0000  12 H 2.65
Mn 0.3334 0.3333 0.5000  6 H 1.68
Ag 0.6667 0.6667 0.5000  6 H 1.98
H 0.0478 0.4760 0.2433  1 Mn 1.68
H 0.4760 0.0478 0.7568  1 Mn 1.68
H 0.4760 0.4762 0.7568  1 Mn 1.68
H 0.0479 0.4760 0.7567  1 Mn 1.68
H 0.4761 0.4762 0.2431  1 Mn 1.68
H 0.4760 0.0478 0.2432  1 Mn 1.68

---

No. 3
DFT (GGA-PBE) results for a geometry-optimized AcNi2AgH8 structure.

DOS at the Fermi energy: 1.727 states/eV/cell
E: -3.85 eV per atom

Cell: 4.7112 4.7112 6.4021 Å, 68.41 68.41 60.00°
Closest atoms and distances in Å follow each position.
Positions (direct):
Ac 0.5000 0.5000 0.5000  6 H 2.50
Ni 0.3072 0.3072 0.0785  7 H 1.69-1.76
Ni 0.6928 0.6928 0.9215  7 H 1.69-1.76
Ag 0.0000 0.0000 0.0000  6 H 1.96
H 0.2086 0.2086 0.3742  1 Ni 1.71
H 0.5995 0.3644 0.1300  2 Ni 1.69-1.76
H 0.7914 0.7914 0.6258  1 Ni 1.71
H 0.9061 0.5995 0.1300  2 Ni 1.69-1.76
H 0.0939 0.4005 0.8700  2 Ni 1.69-1.76
H 0.3644 0.9061 0.1300  2 Ni 1.69-1.76
H 0.6356 0.0939 0.8700  2 Ni 1.69-1.76
H 0.4005 0.6356 0.8700  2 Ni 1.69-1.76

---

No. 4
DFT (GGA-PBE) results for a geometry-optimized AcAgPH structure.

ΔE to the lowest computed polymorph: 0 meV/atom
DOS at the Fermi energy: 0.425 states/eV/cell
E: -4.64 eV per atom

Cell: 4.2211 4.2211 8.5151 Å, 90.00 90.00 90.00°
Closest atoms and distances in Å follow each position.
Positions (direct):
Ac 0.0000 0.5000 0.8264  4 H 2.58
Ac 0.5000 0.0000 0.1736  4 H 2.58
Ag 0.0000 0.0000 0.5000  4 P 2.72, 4 Ag 2.98
Ag 0.5000 0.5000 0.5000  4 P 2.72, 4 Ag 2.98
P 0.5000 0.0000 0.7014  4 Ag 2.72
P 0.0000 0.5000 0.2986  4 Ag 2.72
H 0.5000 0.5000 0.0000  4 Ac 2.58
H 0.0000 0.0000 0.0000  4 Ac 2.58

---

No. 5
DFT (GGA-PBE) results for a geometry-optimized AcAgPH structure.

ΔE to the lowest computed polymorph: 273 meV/atom
E: -4.37 eV per atom

Cell: 4.8386 4.8386 4.8386 Å, 60.00 60.00 60.00°
Closest atoms and distances in Å follow each position.
Positions (direct):
P 0.2500 0.2500 0.2500  4 Ac 2.96, 4 Ag 2.96
Ac 0.5000 0.5000 0.5000  4 H 2.96, 4 P 2.96
Ag 0.0000 0.0000 0.0000  4 P 2.96, 4 H 2.96
H 0.7500 0.7500 0.7500  4 Ac 2.96, 4 Ag 2.96

---

No. 6
DFT (GGA-PBE) results for a geometry-optimized AcAg2HPd2 structure.

DOS at the Fermi energy: 2.824 states/eV/cell
E: -4.26 eV per atom

Cell: 4.0440 4.0440 7.7514 Å, 105.12 105.12 90.00°
Closest atoms and distances in Å follow each position.
Positions (direct):
Ac 0.5000 0.5000 0.0000  4 H 2.86
Ag 0.2500 0.7500 0.5000  4 Pd 2.79, 4 Ag 2.86
Ag 0.7500 0.2500 0.5000  4 Pd 2.79, 4 Ag 2.86
H 0.0000 0.0000 0.0000  2 Pd 1.67
Pd 0.8838 0.8838 0.7676  1 H 1.67
Pd 0.1162 0.1162 0.2324  1 H 1.67

---

No. 7
DFT (GGA-PBE) results for a geometry-optimized AcAgH8Pd2 structure.

DOS at the Fermi energy: 1.528 states/eV/cell
E: -3.75 eV per atom

Cell: 4.9203 4.9203 6.5409 Å, 67.91 67.91 60.00°
Closest atoms and distances in Å follow each position.
Positions (direct):
Ac 0.5000 0.5000 0.5000  6 H 2.53
Ag 0.0000 0.0000 0.0000  6 H 1.88
H 0.1867 0.1867 0.4400  1 Pd 1.69
H 0.6291 0.2830 0.1649  1 Pd 1.74, 1 Ag 1.88
H 0.8133 0.8133 0.5600  1 Pd 1.69
H 0.9230 0.6291 0.1649  1 Pd 1.74, 1 Ag 1.88
H 0.0770 0.3709 0.8351  1 Pd 1.74, 1 Ag 1.88
H 0.2830 0.9230 0.1649  1 Pd 1.74, 1 Ag 1.88
H 0.7170 0.0770 0.8351  1 Pd 1.74, 1 Ag 1.88
H 0.3709 0.7170 0.8351  1 Pd 1.74, 1 Ag 1.88
Pd 0.2821 0.2821 0.1538  4 H 1.69-1.74
Pd 0.7180 0.7180 0.8462  4 H 1.69-1.74

---

No. 8
DFT (GGA-PBE) results for a geometry-optimized AcAgH7Pd2 structure.

DOS at the Fermi energy: 1.097 states/eV/cell
E: -3.90 eV per atom

Cell: 3.8418 3.8418 8.6281 Å, 102.86 102.86 90.00°
Closest atoms and distances in Å follow each position.
Positions (direct):
Ac 0.5000 0.5000 0.0000  12 H 2.64-2.72
Ag 0.2500 0.7500 0.5000  4 H 1.96
H 0.1151 0.6151 0.2302  2 Pd 1.92
H 0.0000 0.0000 0.0000  2 Pd 1.87
H 0.3849 0.8849 0.7698  2 Pd 1.92
H 0.7743 0.7743 0.5487  1 Pd 1.82, 2 Ag 1.96
H 0.6105 0.1105 0.2210  2 Pd 1.92
H 0.2257 0.2257 0.4513  1 Pd 1.82, 2 Ag 1.96
H 0.8895 0.3895 0.7790  2 Pd 1.92
Pd 0.8857 0.8857 0.7714  6 H 1.82-1.92
Pd 0.1143 0.1143 0.2286  6 H 1.82-1.92

---

No. 9
DFT (GGA-PBE) results for a geometry-optimized AcAgH6Pd structure.

DOS at the Fermi energy: 2.681 states/eV/cell
E: -3.78 eV per atom

Cell: 4.8580 4.8580 4.7420 Å, 90.00 90.00 60.00°
Closest atoms and distances in Å follow each position.
Positions (direct):
Ac 0.0000 0.0000 0.0000  12 H 2.69
Ag 0.6666 0.6667 0.5000  6 H 1.93
H 0.0191 0.4904 0.2408  1 Pd 1.80, 1 Ag 1.93
H 0.4904 0.0192 0.7591  1 Pd 1.80, 1 Ag 1.93
H 0.4904 0.4904 0.7591  1 Pd 1.80, 1 Ag 1.93
H 0.0191 0.4904 0.7591  1 Pd 1.80, 1 Ag 1.93
H 0.4904 0.4904 0.2408  1 Pd 1.80, 1 Ag 1.93
H 0.4904 0.0192 0.2408  1 Pd 1.80, 1 Ag 1.93
Pd 0.3333 0.3334 0.5000  6 H 1.80

---

No. 10
DFT (GGA-PBE) results for a geometry-optimized AcAgH6Pd4 structure.

DOS at the Fermi energy: 3.740 states/eV/cell
E: -4.26 eV per atom

Cell: 4.8847 4.8847 6.9662 Å, 90.00 90.00 120.00°
Closest atoms and distances in Å follow each position.
Positions (direct):
Ac 0.0000 0.0000 0.5000  12 H 2.69
Ag 0.0000 0.0000 0.0000  12 Pd 3.13, 12 H 3.39, 2 Ac 3.48
H 0.5000 0.5000 0.3383  2 Pd 1.73
H 0.5000 0.5000 0.6617  2 Pd 1.73
H 0.5000 0.0000 0.3383  2 Pd 1.73
H 0.0000 0.5000 0.3383  2 Pd 1.73
H 0.5000 0.0000 0.6617  2 Pd 1.73
H 0.0000 0.5000 0.6617  2 Pd 1.73
Pd 0.6667 0.3333 0.1934  3 H 1.73
Pd 0.3333 0.6667 0.1934  3 H 1.73
Pd 0.3333 0.6667 0.8066  3 H 1.73
Pd 0.6667 0.3333 0.8066  3 H 1.73

---

No. 11
DFT (GGA-PBE) results for a geometry-optimized AcAgH6Pt3 structure.

DOS at the Fermi energy: 0.092 states/eV/cell
E: -4.35 eV per atom

Cell: 5.2982 5.2982 5.2982 Å, 101.31 78.69 101.31°
Closest atoms and distances in Å follow each position.
Positions (direct):
Ac 0.6318 0.3682 0.6318  9 H 2.68-2.86
Ag 0.9615 0.0385 0.9615  6 H 2.17-2.26
H 0.0961 0.3588 0.2522  1 Pt 1.74
H 0.6412 0.7478 0.0961  1 Pt 1.74
H 0.1137 0.3047 0.6605  1 Pt 1.66
H 0.6953 0.3395 0.1137  1 Pt 1.66
H 0.6605 0.8863 0.6953  1 Pt 1.66
H 0.2522 0.9039 0.6412  1 Pt 1.74
Pt 0.4235 0.8545 0.9491  2 H 1.66-1.74
Pt 0.9491 0.5765 0.1455  2 H 1.66-1.74
Pt 0.1455 0.0509 0.4235  2 H 1.66-1.74

---

No. 12
DFT (GGA-PBE) results for a geometry-optimized AcAgH8Pt2 structure.

DOS at the Fermi energy: 2.825 states/eV/cell
E: -3.92 eV per atom

Cell: 4.9839 4.9839 6.6448 Å, 67.97 67.97 60.00°
Closest atoms and distances in Å follow each position.
Positions (direct):
Ac 0.5000 0.5000 0.5000  6 H 2.55
Ag 0.0000 0.0000 0.0000  6 H 1.93
H 0.1772 0.1772 0.4683  1 Pt 1.62
H 0.6186 0.2626 0.1803  1 Pt 1.70
H 0.8228 0.8228 0.5317  1 Pt 1.62
H 0.9385 0.6186 0.1803  1 Pt 1.70
H 0.0615 0.3814 0.8197  1 Pt 1.70
H 0.2626 0.9385 0.1803  1 Pt 1.70
H 0.7374 0.0615 0.8197  1 Pt 1.70
H 0.3814 0.7374 0.8197  1 Pt 1.70
Pt 0.2674 0.2674 0.1979  4 H 1.62-1.70
Pt 0.7326 0.7326 0.8021  4 H 1.62-1.70

---

No. 13
DFT (GGA-PBE) results for a geometry-optimized Ac2AgHPt6 structure.

DOS at the Fermi energy: 3.165 states/eV/cell
E: -5.68 eV per atom

Cell: 5.8108 7.3689 5.8112 Å, 66.83 60.01 90.00°
Closest atoms and distances in Å follow each position.
Positions (direct):
Ac 0.7775 0.3319 0.4450  6 Pt 3.09
Ac 0.2225 0.6681 0.5550  6 Pt 3.09
Ag 0.5000 0.5000 0.0000  6 Pt 2.71
H 0.0000 0.0000 0.0000  6 Pt 2.05
Pt 0.2273 0.1715 0.5452  1 H 2.05
Pt 0.7726 0.8283 0.9450  1 H 2.05
Pt 0.2827 0.8285 0.9449  1 H 2.05
Pt 0.7173 0.1715 0.0551  1 H 2.05
Pt 0.2274 0.1717 0.0550  1 H 2.05
Pt 0.7727 0.8285 0.4548  1 H 2.05

---

No. 14
DFT (GGA-PBE) results for a geometry-optimized AcAgH6Pt2 structure.

DOS at the Fermi energy: 1.800 states/eV/cell
E: -4.21 eV per atom

Cell: 4.9209 4.9209 6.0718 Å, 66.09 66.09 60.00°
Closest atoms and distances in Å follow each position.
Positions (direct):
Ac 0.0000 0.0000 0.0000  12 H 2.69
Ag 0.5000 0.5000 0.5000  6 H 2.15
H 0.0639 0.5690 0.7981  1 Pt 1.65
H 0.5690 0.0639 0.7981  1 Pt 1.65
H 0.4310 0.4310 0.2019  1 Pt 1.65
H 0.9361 0.4310 0.2019  1 Pt 1.65
H 0.4310 0.9361 0.2019  1 Pt 1.65
H 0.5690 0.5690 0.7981  1 Pt 1.65
Pt 0.7880 0.7880 0.6360  3 H 1.65
Pt 0.2120 0.2120 0.3640  3 H 1.65

---

No. 15
DFT (GGA-PBE) results for a geometry-optimized Ac2AgH6Rh structure.

DOS at the Fermi energy: 5.510 states/eV/cell
E: -4.23 eV per atom

Cell: 5.6568 5.6568 5.6413 Å, 59.92 59.92 90.25°
Closest atoms and distances in Å follow each position.
Positions (direct):
Ac 0.7503 0.2497 0.5000  12 H 2.82-2.84
Ac 0.2497 0.7503 0.5000  12 H 2.82-2.84
Ag 0.0000 0.0000 0.0000  6 H 2.20-2.23
H 0.2759 0.2759 0.4461  1 Rh 1.77
H 0.7233 0.7232 0.9982  1 Rh 1.77
H 0.2780 0.7221 0.0000  1 Rh 1.78
H 0.7220 0.2779 0.0000  1 Rh 1.78
H 0.2767 0.2768 0.0018  1 Rh 1.77
H 0.7241 0.7241 0.5539  1 Rh 1.77
Rh 0.5000 0.5000 0.0000  6 H 1.77-1.78

---

No. 16
DFT (GGA-PBE) results for a geometry-optimized Ac2AgH12Rh3 structure.

DOS at the Fermi energy: 6.564 states/eV/cell
E: -4.32 eV per atom

Cell: 6.2649 6.2649 6.2649 Å, 61.81 61.81 61.81°
Closest atoms and distances in Å follow each position.
Positions (direct):
Ac 0.6169 0.6169 0.6169  6 H 2.46-2.68
Ac 0.3831 0.3831 0.3831  6 H 2.46-2.68
Ag 0.0000 0.0000 0.0000  6 H 2.01
H 0.3182 0.3182 0.8805  2 Rh 1.76
H 0.8901 0.8901 0.3833  1 Rh 1.70
H 0.3833 0.8901 0.8901  1 Rh 1.70
H 0.8805 0.3182 0.3182  2 Rh 1.76
H 0.8901 0.3833 0.8901  1 Rh 1.70
H 0.3182 0.8805 0.3182  2 Rh 1.76
H 0.6818 0.6818 0.1195  2 Rh 1.76
H 0.1099 0.1099 0.6167  1 Rh 1.70
H 0.6167 0.1099 0.1099  1 Rh 1.70
H 0.1195 0.6818 0.6818  2 Rh 1.76
H 0.1099 0.6167 0.1099  1 Rh 1.70
H 0.6818 0.1195 0.6818  2 Rh 1.76
Rh 0.5000 0.0000 0.0000  6 H 1.70-1.76
Rh 0.0000 0.5000 0.0000  6 H 1.70-1.76
Rh 0.0000 0.0000 0.5000  6 H 1.70-1.76

---

No. 17
DFT (GGA-PBE) results for a geometry-optimized Ac3AgHRh structure.

DOS at the Fermi energy: 7.124 states/eV/cell
E: -4.79 eV per atom

Cell: 4.2728 9.1175 9.5060 Å, 102.76 90.00 90.00°
Closest atoms and distances in Å follow each position.
Positions (direct):
Ac 0.2500 0.8001 0.4741  3 H 2.49-2.53
Ac 0.7500 0.8853 0.1408  1 H 2.58
Ac 0.7500 0.4407 0.1672  3 Rh 3.00-3.04
Ac 0.7500 0.1999 0.5259  3 H 2.49-2.53
Ac 0.2500 0.5593 0.8328  3 Rh 3.00-3.04
Ac 0.2500 0.1147 0.8592  1 H 2.58
Ag 0.7500 0.8230 0.7574  7 Ac 3.38-3.56, 1 H 3.55
Ag 0.2500 0.1770 0.2426  7 Ac 3.38-3.56, 1 H 3.55
H 0.2500 0.0755 0.5818  4 Ac 2.49-2.58
H 0.7500 0.9245 0.4182  4 Ac 2.49-2.58
Rh 0.2500 0.6690 0.1594  6 Ac 2.94-3.04
Rh 0.7500 0.3310 0.8406  6 Ac 2.94-3.04

---

No. 18
DFT (GGA-PBE) results for a geometry-optimized Ac4AgHRh2 structure.

DOS at the Fermi energy: 9.966 states/eV/cell
E: -5.21 eV per atom

Cell: 4.3406 7.4443 14.9912 Å, 90.00 90.00 106.95°
Closest atoms and distances in Å follow each position.
Positions (direct):
Ac 0.2686 0.5372 0.1142  1 H 2.57
Ac 0.7314 0.4628 0.6142  1 H 2.57
Ac 0.7314 0.4628 0.8858  1 H 2.57
Ac 0.2686 0.5372 0.3858  1 H 2.57
Ac 0.0000 0.0000 0.5000  4 Rh 3.01
Ac 0.0000 0.0000 0.0000  4 Rh 3.01
Ac 0.4300 0.8600 0.7500  2 H 2.51
Ac 0.5700 0.1400 0.2500  2 H 2.51
Ag 0.1140 0.2280 0.7500  6 Ac 3.40-3.41
Ag 0.8860 0.7720 0.2500  6 Ac 3.40-3.41
H 0.8411 0.6822 0.7500  4 Ac 2.51-2.57
H 0.1589 0.3178 0.2500  4 Ac 2.51-2.57
Rh 0.3695 0.7389 0.5624  6 Ac 2.94-3.03
Rh 0.6305 0.2611 0.0624  6 Ac 2.94-3.03
Rh 0.6305 0.2611 0.4376  6 Ac 2.94-3.03
Rh 0.3695 0.7389 0.9376  6 Ac 2.94-3.03

---

No. 19
DFT (GGA-PBE) results for a geometry-optimized AcAgH8Rh2 structure.

DOS at the Fermi energy: 1.044 states/eV/cell
E: -4.24 eV per atom

Cell: 4.9681 4.9681 6.3938 Å, 67.14 67.14 60.00°
Closest atoms and distances in Å follow each position.
Positions (direct):
Ac 0.5000 0.5000 0.5000  6 H 2.52
Ag 0.0000 0.0000 0.0000  6 H 2.06
H 0.1982 0.1982 0.4055  1 Rh 1.72
H 0.5958 0.3660 0.1276  2 Rh 1.74-1.90, 1 H 1.90
H 0.8018 0.8018 0.5945  1 Rh 1.72
H 0.9106 0.5958 0.1276  2 Rh 1.74-1.90, 1 H 1.90
H 0.0894 0.4042 0.8724  2 Rh 1.74-1.90, 1 H 1.90
H 0.3660 0.9106 0.1276  2 Rh 1.74-1.90, 1 H 1.90
H 0.6340 0.0894 0.8724  2 Rh 1.74-1.90, 1 H 1.90
H 0.4042 0.6340 0.8724  2 Rh 1.74-1.90, 1 H 1.90
Rh 0.2985 0.2985 0.1044  7 H 1.72-1.90
Rh 0.7015 0.7015 0.8956  7 H 1.72-1.90

---

No. 20
DFT (GGA-PBE) results for a geometry-optimized AcAgH6Rh structure.

DOS at the Fermi energy: 1.518 states/eV/cell
E: -4.12 eV per atom

Cell: 4.9177 4.9177 4.5586 Å, 90.00 90.00 60.00°
Closest atoms and distances in Å follow each position.
Positions (direct):
Ac 0.0000 0.0000 0.0000  12 H 2.70
Ag 0.6666 0.6667 0.5000  6 H 1.97
H 0.0370 0.4809 0.2423  1 Rh 1.72
H 0.4808 0.0370 0.7577  1 Rh 1.72
H 0.4821 0.4809 0.7577  1 Rh 1.72
H 0.0370 0.4821 0.7577  1 Rh 1.72
H 0.4808 0.4821 0.2423  1 Rh 1.72
H 0.4821 0.0371 0.2423  1 Rh 1.72
Rh 0.3333 0.3333 0.5000  6 H 1.72

---

No. 21
DFT (GGA-PBE) results for a geometry-optimized AcAgSnH structure.

DOS at the Fermi energy: 1.810 states/eV/cell
E: -4.02 eV per atom

Cell: 4.8914 4.8909 4.2055 Å, 90.00 90.00 120.00°
Closest atoms and distances in Å follow each position.
Positions (direct):
Ac 0.5719 0.1437 0.3099  3 H 2.82
Ag 0.2386 0.4772 0.8105  2 H 2.10-2.11
Sn 0.9052 0.8105 0.8093  3 Ag 2.82
H 0.2386 0.4773 0.3095  2 Ag 2.10-2.11